NdMgGaPd3: optimized geometry, PBE.

Calculated values
Magnetization, μB per formula unit: 0.00
DFT formation energy, meV/atom: -529

a b c (Å): 6.703 12.455 5.788
angles (deg): 90.00 90.00 90.00
Space group Cmcm (No. 63)
Inequivalent atoms, fractional coordinates:
1 Nd 0.000 0.193 0.250 [4 per cell]
2 Mg 0.000 0.444 0.250 [4 per cell]
3 Ga 0.000 0.135 0.750 [4 per cell]
4 Pd 0.000 0.337 0.750 [4 per cell]
5 Pd 0.204 0.000 0.000 [8 per cell]